Record 1
CdCuP2 | PBE | optimized geometry

Properties
Energy relative to the elements, eV/atom: 0.12
Space-group type: P4mm
Uncorrected energy, eV/atom: -3.83
Total magnetization, μB/atom: 0.000

POSCAR file:
```
CdCuP2
1.0
-2.8846 0.2753 -1.0959
-0.1892 -3.0799 -0.2757
-2.6776 -0.4561 6.9332
Cu P Cd
1 2 1
direct
0.5000 0.5000 0.7512
0.5000 0.5000 0.0549
0.0000 0.0000 0.1671
0.0000 0.0000 0.5268
```


Record 2
CdCu2P | PBE | optimized geometry

Properties
Energy relative to the elements, eV/atom: 0.12
Space-group type: Imm2
Uncorrected energy, eV/atom: -3.51
Total magnetization, μB/atom: 0.000

POSCAR file:
```
CdCu2P
1.0
6.4219 1.1707 0.2424
3.9373 5.2067 -0.2424
-4.9583 -3.5482 2.3444
Cu P Cd
2 1 1
direct
0.3255 0.8255 0.5000
0.9827 0.9827 0.0000
0.4837 0.4837 0.0000
0.7081 0.2081 0.5000
```


Record 3
CdCuP2 | PBE | optimized geometry

Properties
Energy relative to the elements, eV/atom: 0.08
Space-group type: P2/m
Uncorrected energy, eV/atom: -3.87
Total magnetization, μB/atom: 0.000

POSCAR file:
```
CdCuP2
1.0
3.4979 0.0000 0.0000
0.0000 4.1294 0.0225
0.0000 1.3510 5.1167
P Cd Cu
2 1 1
direct
0.0000 0.4776 0.5904
0.0000 0.0224 0.9096
0.5000 0.2500 0.2500
0.5000 0.7500 0.7500
```


Q: Among the records above, which one has the lowest uncorrected energy?
A: number 3


Q: What is the total magnetization in the first record?
A: 0.000 μB/atom